Record 1
BaPrZn2Pd2 | GGA-PBE | relaxed

## Properties
* symmetry: P-3m1, No. 164
* raw total energy: -3.86 eV/atom
* total magnetic moment: 0.00 μB/atom
* formation enthalpy at 0 K: -0.589 eV per atom

Unit cell a=4.527 b=4.527 c=8.360 alpha=90.00 beta=90.00 gamma=120.00
Fractional positions:
Ba1 0.000 0.000 0.000
Pr1 0.000 0.000 0.500
Zn1 0.667 0.333 0.716
Zn2 0.333 0.667 0.284
Pd1 0.667 0.333 0.290
Pd2 0.333 0.667 0.710

---

Record 2
NaAcY2Se4 | GGA-PBE | relaxed

## Properties
* symmetry: P2/m, No. 10
* raw total energy: -5.80 eV/atom
* total magnetic moment: 0.00 μB/atom

Unit cell a=4.178 b=7.472 c=7.252 alpha=71.35 beta=90.00 gamma=90.00
Fractional positions:
Na1 0.000 0.500 0.500
Ac1 0.500 0.500 0.000
Y1 0.000 0.000 0.000
Y2 0.500 0.000 0.500
Se1 0.000 0.770 0.735
Se2 0.000 0.230 0.265
Se3 0.500 0.768 0.248
Se4 0.500 0.232 0.752

---

Record 3
Ti4FeS8 | GGA-PBE | relaxed

## Properties
* symmetry: C2/m, No. 12
* raw total energy: -6.83 eV/atom
* total magnetic moment: 0.00 μB/atom

Unit cell a=6.516 b=6.516 c=8.021 alpha=54.13 beta=54.13 gamma=62.67
Fractional positions:
Ti1 0.739 0.261 0.500
Ti2 0.261 0.739 0.500
Ti3 0.739 0.739 0.006
Ti4 0.261 0.261 0.994
Fe1 0.000 0.000 0.000
S1 0.441 0.958 0.834
S2 0.042 0.559 0.166
S3 0.559 0.042 0.166
S4 0.958 0.441 0.834
S5 0.550 0.550 0.666
S6 0.450 0.450 0.334
S7 0.037 0.037 0.677
S8 0.963 0.963 0.323

---

Copy entry 1 word for word.
BaPrZn2Pd2 | GGA-PBE | relaxed

## Properties
* symmetry: P-3m1, No. 164
* raw total energy: -3.86 eV/atom
* total magnetic moment: 0.00 μB/atom
* formation enthalpy at 0 K: -0.589 eV per atom

Unit cell a=4.527 b=4.527 c=8.360 alpha=90.00 beta=90.00 gamma=120.00
Fractional positions:
Ba1 0.000 0.000 0.000
Pr1 0.000 0.000 0.500
Zn1 0.667 0.333 0.716
Zn2 0.333 0.667 0.284
Pd1 0.667 0.333 0.290
Pd2 0.333 0.667 0.710

---

- Which of these has the highest raw total energy?
  BaPrZn2Pd2